{
  "formula": "La2NdSm",
  "functional": "PBE",
  "state": "optimized geometry",
  "cell": [[-0.639, -1.936, 3.103], [0.303, -3.167, -1.914], [10.173, -0.213, 1.962]],
  "species": ["Nd", "Sm", "La", "La"],
  "fractional_positions": [[0.500, 0.500, 0.000], [0.500, 0.500, 0.500], [0.000, 0.000, 0.748], [0.000, 0.000, 0.252]],
  "polymorph_energy_mev_per_atom": 6,
  "formation_enthalpy_0k_mev_per_atom": 16,
  "total_energy_ev_per_atom": -4.819
}



{
  "formula": "La8NdSm2",
  "functional": "PBE",
  "state": "optimized geometry",
  "cell": [[5.078, 0.000, -1.352], [-0.543, 8.014, -2.040], [-0.111, -0.079, 9.793]],
  "species": ["La", "La", "La", "La", "La", "La", "La", "La", "Nd", "Sm", "Sm"],
  "fractional_positions": [[0.591, 0.455, 0.183], [0.318, 0.089, 0.636], [0.137, 0.185, 0.275], [0.046, 0.726, 0.093], [0.863, 0.815, 0.725], [0.682, 0.911, 0.364], [0.409, 0.545, 0.817], [0.954, 0.274, 0.907], [0.500, 0.000, 0.000], [0.227, 0.635, 0.453], [0.773, 0.365, 0.547]],
  "polymorph_energy_mev_per_atom": 0,
  "formation_enthalpy_0k_mev_per_atom": 14,
  "total_energy_ev_per_atom": -4.861
}